(1)
Material: Zr2Ag2Pd5
Method: DFT, PBE-GGA
State: optimized geometry

Unit cell a=5.413 b=7.342 c=16.108 alpha=90.00 beta=90.00 gamma=90.00
Space group Ima2 (No. 46)
Symmetry-distinct sites (fractional):
Zr  0.250  0.150  0.000 [4 per cell]
Zr  0.250  0.180  0.295 [4 per cell]
Ag  0.250  0.677  0.883 [4 per cell]
Ag  0.250  0.678  0.223 [4 per cell]
Pd  0.000  0.000  0.170 [4 per cell]
Pd  0.000  0.000  0.503 [4 per cell]
Pd  0.000  0.000  0.859 [4 per cell]
Pd  0.250  0.152  0.643 [4 per cell]
Pd  0.250  0.701  0.556 [4 per cell]

formation energy = -332.1 meV/atom



(2)
Material: Zr4AgPd7
Method: DFT, PBE-GGA
State: optimized geometry

Unit cell a=10.753 b=4.983 c=9.888 alpha=90.00 beta=119.76 gamma=90.00
Space group C2/m (No. 12)
Symmetry-distinct sites (fractional):
Zr  0.090  0.000  0.282 [4 per cell]
Zr  0.238  0.500  0.155 [4 per cell]
Ag  0.000  0.500  0.500 [2 per cell]
Pd  0.000  0.000  0.500 [2 per cell]
Pd  0.074  0.500  0.830 [4 per cell]
Pd  0.134  0.000  0.029 [4 per cell]
Pd  0.209  0.500  0.408 [4 per cell]

formation energy = -380.9 meV/atom



(3)
Material: ZrAgPd
Method: DFT, PBE-GGA
State: optimized geometry

Unit cell a=7.262 b=5.071 c=6.072 alpha=90.00 beta=98.47 gamma=90.00
Space group P2_1/c (No. 14)
Symmetry-distinct sites (fractional):
Zr  0.228  0.144  0.001 [4 per cell]
Ag  0.420  0.650  0.171 [4 per cell]
Pd  0.089  0.645  0.840 [4 per cell]

formation energy = -359.0 meV/atom



(4)
Material: ZrAgPd
Method: DFT, PBE-GGA
State: optimized geometry

Unit cell a=4.800 b=8.306 c=5.575 alpha=90.00 beta=90.00 gamma=90.00
Space group Cmcm (No. 63)
Symmetry-distinct sites (fractional):
Zr  0.000  0.166  0.250 [4 per cell]
Ag  0.000  0.500  0.000 [4 per cell]
Pd  0.000  0.167  0.750 [4 per cell]

formation energy = -394.3 meV/atom



(5)
Material: PmAg6
Method: DFT, PBE-GGA
State: optimized geometry

Unit cell a=6.376 b=6.376 c=6.376 alpha=90.00 beta=90.00 gamma=90.00
Space group Pm-3m (No. 221)
Symmetry-distinct sites (fractional):
Pm  0.000  0.000  0.000 [1 per cell]
Ag  0.198  0.500  0.500 [6 per cell]

formation energy = 932.8 meV/atom



(6)
Material: Pm5Ag2
Method: DFT, PBE-GGA
State: optimized geometry

Unit cell a=15.889 b=7.786 c=6.807 alpha=90.00 beta=91.34 gamma=90.00
Space group C2/c (No. 15)
Symmetry-distinct sites (fractional):
Pm  0.000  0.025  0.250 [4 per cell]
Pm  0.090  0.349  0.977 [8 per cell]
Pm  0.225  0.042  0.719 [8 per cell]
Ag  0.113  0.274  0.484 [8 per cell]

formation energy = -89.9 meV/atom



(7)
Material: Pm13Ag2
Method: DFT, PBE-GGA
State: optimized geometry

Unit cell a=6.497 b=8.605 c=9.489 alpha=68.62 beta=78.59 gamma=81.91
Space group P-1 (No. 2)
Symmetry-distinct sites (fractional):
Pm  0.000  0.000  0.000 [1 per cell]
Pm  0.049  0.420  0.701 [2 per cell]
Pm  0.209  0.178  0.234 [2 per cell]
Pm  0.250  0.597  0.948 [2 per cell]
Pm  0.284  0.990  0.646 [2 per cell]
Pm  0.464  0.372  0.413 [2 per cell]
Pm  0.475  0.795  0.158 [2 per cell]
Ag  0.127  0.788  0.454 [2 per cell]

formation energy = -31.4 meV/atom



(8)
Material: Pm3Ag
Method: DFT, PBE-GGA
State: optimized geometry

Unit cell a=7.0713 b=7.0713 c=5.4001 alpha=90.00 beta=90.00 gamma=120.00
Space group P6_3/mmc (No. 194)
Symmetry-distinct sites (fractional):
Pm  0.1751  0.3502  0.2500 [6 per cell]
Ag  0.3333  0.6667  0.7500 [2 per cell]

formation energy = 24.5 meV/atom



| no. | final energy (eV/atom) |
| --- | --- |
| 1 | -5.75 |
| 2 | -6.50 |
| 3 | -5.89 |
| 4 | -5.93 |
| 5 | -2.19 |
| 6 | -4.30 |
| 7 | -4.53 |
| 8 | -4.25 |